a.
The following is a PBE-GGA calculation of a relaxed Cu3Ag5 crystal, from OQMD.

Calculated values
- Symmetry: Pm, No. 6

Cell lengths 4.8448, 2.8526, 9.3286 Å; angles 90.00, 102.08, 90.00 degrees
With the nearest neighbours (Å) after each atom.
Atoms (fractional coordinates):
1 Ag 0.2302 0.5000 0.7437  7 Cu 2.70-2.89, 5 Ag 2.79-2.85
2 Ag 0.2428 0.0000 0.2419  9 Ag 2.77-2.94, 3 Cu 2.81-2.91
3 Ag 0.5078 0.0000 0.9958  5 Cu 2.72-2.86, 7 Ag 2.84-2.87
4 Cu 0.7544 0.0000 0.7592  5 Cu 2.63-2.90, 7 Ag 2.72-2.89
5 Cu 0.9940 0.5000 0.9882  4 Cu 2.63-2.85, 7 Ag 2.76-2.86
6 Ag 0.7592 0.5000 0.2580  3 Cu 2.73-2.97, 9 Ag 2.77-2.87
7 Cu 0.0004 0.0000 0.5018  9 Ag 2.70-2.91, 3 Cu 2.85-2.90
8 Ag 0.5112 0.5000 0.5112  6 Cu 2.76-2.84, 6 Ag 2.79-2.94

b.
The following is a PBE-GGA calculation of a relaxed Cu3Ag5 crystal, from OQMD.

Calculated values
- Symmetry: R3m, No. 160

Cell lengths 18.3045, 18.3045, 18.3045 Å; angles 8.87, 8.87, 8.87 degrees
With the nearest neighbours (Å) after each atom.
Atoms (fractional coordinates):
1 Cu 0.4989 0.4989 0.4989  6 Ag 2.74-2.75, 6 Cu 2.83
2 Ag 0.8726 0.8726 0.8726  3 Cu 2.74, 9 Ag 2.83-2.96
3 Ag 0.1252 0.1252 0.1252  3 Cu 2.75, 9 Ag 2.83-2.98
4 Ag 0.2511 0.2511 0.2511  12 Ag 2.83-2.97
5 Cu 0.0037 0.0037 0.0037  9 Cu 2.53-2.83, 3 Ag 2.75
6 Cu 0.3724 0.3724 0.3724  9 Cu 2.53-2.83, 3 Ag 2.76
7 Ag 0.6298 0.6298 0.6298  3 Cu 2.75, 9 Ag 2.83-2.97
8 Ag 0.7463 0.7463 0.7463  3 Cu 2.76, 9 Ag 2.83-2.98

c.
The following is a PBE-GGA calculation of a relaxed Cu3Ag5 crystal, from OQMD.

Calculated values
- Symmetry: P2/m, No. 10

Cell lengths 6.9748, 2.8460, 6.9768 Å; angles 90.00, 115.27, 90.00 degrees
With the nearest neighbours (Å) after each atom.
Atoms (fractional coordinates):
1 Ag 0.2888 0.5000 0.8012  4 Cu 2.70-2.76, 5 Ag 2.85-2.92
2 Ag 0.0000 0.5000 0.0000  4 Cu 2.73, 8 Ag 2.85-2.90
3 Ag 0.8628 0.0000 0.6018  3 Cu 2.72-2.73, 9 Ag 2.83-3.04
4 Ag 0.7113 0.5000 0.1988  4 Cu 2.70-2.76, 5 Ag 2.85-2.92
5 Ag 0.1372 0.0000 0.3982  3 Cu 2.72-2.73, 9 Ag 2.83-3.04
6 Cu 0.5000 0.5000 0.5000  4 Cu 2.54, 4 Ag 2.72
7 Cu 0.3701 0.0000 0.1669  2 Cu 2.54, 7 Ag 2.70-2.76
8 Cu 0.6299 0.0000 0.8331  2 Cu 2.54, 7 Ag 2.70-2.76

Relative energies with respect to the most stable structure, expressed in meV per atom: a 21; b 15; c 0.

a.
The following is a PBE-GGA calculation of a relaxed Cu3Ag5 crystal, from OQMD.

Calculated values
- Symmetry: P-4m2, No. 115

Cell lengths 3.9633, 3.9633, 7.9871 Å; angles 90.00, 90.00, 90.00 degrees
With the nearest neighbours (Å) after each atom.
Atoms (fractional coordinates):
1 Ag 0.0000 0.5000 0.7406  6 Cu 2.76-2.80, 6 Ag 2.76-2.87
2 Ag 0.5000 0.5000 0.0000  8 Ag 2.80-2.87, 4 Cu 2.86
3 Cu 0.5000 0.0000 0.7426  2 Cu 2.77, 10 Ag 2.77-2.86
4 Ag 0.0000 0.0000 0.5000  4 Ag 2.76, 8 Cu 2.77-2.80
5 Ag 0.0000 0.0000 0.0000  8 Ag 2.80-2.87, 4 Cu 2.86
6 Cu 0.5000 0.5000 0.5000  8 Ag 2.76-2.80, 4 Cu 2.77
7 Cu 0.0000 0.5000 0.2574  2 Cu 2.77, 10 Ag 2.77-2.86
8 Ag 0.5000 0.0000 0.2594  6 Cu 2.76-2.80, 6 Ag 2.76-2.87

b.
The following is a PBE-GGA calculation of a relaxed Cu3Ag5 crystal, from OQMD.

Calculated values
- Symmetry: Cm, No. 8

Cell lengths 4.9048, 4.9048, 9.6187 Å; angles 102.30, 102.30, 33.88 degrees
With the nearest neighbours (Å) after each atom.
Atoms (fractional coordinates):
1 Ag 0.4897 0.4897 0.2378  7 Cu 2.71-2.85, 5 Ag 2.81-2.87
2 Cu 0.0141 0.0141 0.0045  4 Cu 2.59-2.86, 7 Ag 2.71-2.79
3 Ag 0.2508 0.2508 0.3688  5 Cu 2.74-2.91, 7 Ag 2.81-2.87
4 Cu 0.9970 0.9970 0.4959  10 Ag 2.75-2.91, 2 Cu 2.86
5 Ag 0.2645 0.2645 0.8952  5 Cu 2.68-2.78, 7 Ag 2.86-2.96
6 Ag 0.7427 0.7427 0.6214  3 Cu 2.75-2.90, 9 Ag 2.82-2.96
7 Cu 0.7386 0.7386 0.1237  4 Cu 2.59-2.86, 7 Ag 2.68-2.79
8 Ag 0.5026 0.5026 0.7526  4 Cu 2.79-2.84, 8 Ag 2.82-2.91

Relative energies with respect to the most stable structure, expressed in meV per atom: a 11; b 0.